Record 1
This record from Alexandria describes a geometry-optimized NaTeIrCl2 structure. The functional is GGA-PBEsol.

Structure (POSCAR):
```
NaTeIrCl2
1.0
-3.197 -3.022 1.214
-0.088 -1.621 -4.266
4.515 -4.177 1.493
Na Ir Te Cl
1 1 1 2
Direct
0.000 0.000 0.500
0.000 0.000 0.000
0.500 0.500 0.500
0.000 0.500 0.000
0.500 0.000 0.000
```

Properties
As for the symmetry: P4/mmm, No. 123. The calculation puts the total DFT energy (no corrections) at -3.545 eV/atom. As for the raw formation energy: 208 meV per atom.

=====

Record 2
This record from Alexandria describes a geometry-optimized Nb3IrCl structure. The functional is GGA-PBEsol.

Structure (POSCAR):
```
Nb3IrCl
1.0
4.877 0.000 0.000
0.000 4.877 0.000
0.000 0.000 4.877
Nb Ir Cl
3 1 1
Direct
0.000 0.500 0.000
0.000 0.000 0.500
0.500 0.000 0.000
0.000 0.000 0.000
0.500 0.500 0.500
```

Properties
As for the symmetry: Pm-3m, No. 221. The calculation puts the total DFT energy (no corrections) at -7.718 eV/atom. As for the raw formation energy: 1141 meV per atom.

=====

Record 3
This record from Alexandria describes a geometry-optimized NbIr2SeCl structure. The functional is GGA-PBEsol.

Structure (POSCAR):
```
NbIr2SeCl
1.0
-2.120 -0.381 -3.744
1.365 -4.082 -0.357
-3.913 -1.515 2.370
Nb Ir Se Cl
1 2 1 1
Direct
0.500 0.500 0.500
0.000 0.500 0.000
0.500 0.000 0.000
0.000 0.000 0.500
0.000 0.000 0.000
```

Properties
As for the symmetry: P4/mmm, No. 123. The calculation puts the total DFT energy (no corrections) at -5.786 eV/atom. As for the raw formation energy: 1480 meV per atom.

=====

Record 4
This record from Alexandria describes a geometry-optimized Ni2IrCl structure. The functional is GGA-PBEsol.

Structure (POSCAR):
```
Ni2IrCl
1.0
-2.277 -0.328 1.291
0.828 -4.344 0.359
2.081 0.715 3.853
Ni Ir Cl
2 1 1
Direct
0.000 0.000 0.500
0.000 0.500 0.000
0.500 0.000 0.000
0.500 0.500 0.500
```

Properties
As for the symmetry: P4/mmm, No. 123. The calculation puts the total DFT energy (no corrections) at -5.439 eV/atom. As for the raw formation energy: 597 meV per atom.

=====

Record 5
This record from Alexandria describes a geometry-optimized Ni2IrCl structure. The functional is GGA-PBEsol.

Structure (POSCAR):
```
Ni2IrCl
1.0
4.183 0.000 0.000
2.092 3.623 0.000
2.092 1.208 3.416
Ni Ir Cl
2 1 1
Direct
0.250 0.250 0.250
0.750 0.750 0.750
0.500 0.500 0.500
0.000 0.000 0.000
```

Properties
As for the symmetry: Fm-3m, No. 225. The calculation puts the total DFT energy (no corrections) at -5.208 eV/atom. As for the raw formation energy: 829 meV per atom.

=====

Record 6
This record from Alexandria describes a geometry-optimized Ni2IrCl structure. The functional is GGA-PBEsol.

Structure (POSCAR):
```
Ni2IrCl
1.0
-2.518 -0.005 -1.027
-0.243 -4.400 0.617
-0.164 2.818 3.990
Ni Ir Cl
2 1 1
Direct
0.764 0.764 0.527
0.236 0.236 0.473
0.000 0.500 0.000
0.500 0.000 0.000
```

Properties
As for the symmetry: Immm, No. 71. The calculation puts the total DFT energy (no corrections) at -5.393 eV/atom. As for the raw formation energy: 643 meV per atom.

=====

Record 7
This record from Alexandria describes a geometry-optimized NiIr2Cl structure. The functional is GGA-PBEsol.

Structure (POSCAR):
```
NiIr2Cl
1.0
-0.751 1.125 2.434
-2.507 1.181 0.273
-4.188 -6.357 3.238
Ni Ir Cl
1 2 1
Direct
0.500 0.500 0.500
0.246 0.246 0.263
0.754 0.754 0.737
0.000 0.000 0.000
```

Properties
As for the symmetry: R-3m, No. 166. The calculation puts the total DFT energy (no corrections) at -6.450 eV/atom. As for the raw formation energy: 503 meV per atom.

=====

Record 8
This record from Alexandria describes a geometry-optimized NiIrCl2 structure. The functional is GGA-PBEsol.

Structure (POSCAR):
```
NiIrCl2
1.0
4.288 0.000 0.000
-2.144 3.709 0.048
0.000 2.433 3.531
Ni Ir Cl
1 1 2
Direct
0.000 0.000 0.000
0.500 0.000 0.500
0.250 0.500 0.250
0.750 0.500 0.750
```

Properties
As for the symmetry: I4/mmm, No. 139. The calculation puts the total DFT energy (no corrections) at -4.130 eV/atom. As for the raw formation energy: 869 meV per atom.

=====

Record 9
This record from Alexandria describes a geometry-optimized NiIr2Cl structure. The functional is GGA-PBEsol.

Structure (POSCAR):
```
NiIr2Cl
1.0
2.745 0.000 0.000
1.372 4.196 -0.089
1.372 0.035 6.071
Ni Ir Cl
1 2 1
Direct
0.429 0.708 0.435
0.054 0.798 0.093
0.251 0.258 0.240
0.766 0.736 0.732
```

Properties
As for the symmetry: Cm, No. 8. The calculation puts the total DFT energy (no corrections) at -6.486 eV/atom. As for the raw formation energy: 467 meV per atom.

=====

Record 10
This record from Alexandria describes a geometry-optimized NiIr2Cl structure. The functional is GGA-PBEsol.

Structure (POSCAR):
```
NiIr2Cl
1.0
2.681 0.000 0.000
-1.340 2.402 0.000
0.000 0.000 8.612
Ni Ir Cl
1 2 1
Direct
0.500 0.000 0.500
0.000 0.000 0.743
0.000 0.000 0.257
0.500 0.000 0.000
```

Properties
As for the symmetry: Cmmm, No. 65. The calculation puts the total DFT energy (no corrections) at -6.357 eV/atom. As for the raw formation energy: 596 meV per atom.

=====

Record 11
This record from Alexandria describes a geometry-optimized NiIrCl2 structure. The functional is GGA-PBEsol.

Structure (POSCAR):
```
NiIrCl2
1.0
3.506 0.000 0.000
1.753 3.036 0.000
1.753 1.012 6.588
Ni Ir Cl
1 1 2
Direct
0.245 0.245 0.266
0.508 0.508 0.475
0.966 0.966 0.102
0.781 0.781 0.656
```

Properties
As for the symmetry: R3m, No. 160. The calculation puts the total DFT energy (no corrections) at -4.930 eV/atom. As for the raw formation energy: 70 meV per atom.

=====

Record 12
This record from Alexandria describes a geometry-optimized NiIrPb2Cl structure. The functional is GGA-PBEsol.

Structure (POSCAR):
```
NiIrPb2Cl
1.0
-3.288 2.108 -2.084
1.083 -2.620 -4.358
-3.308 -3.747 1.431
Pb Ni Ir Cl
2 1 1 1
Direct
0.000 0.000 0.500
0.000 0.500 0.000
0.000 0.000 0.000
0.500 0.000 0.000
0.500 0.500 0.500
```

Properties
As for the symmetry: P4/mmm, No. 123. The calculation puts the total DFT energy (no corrections) at -4.593 eV/atom. As for the raw formation energy: 604 meV per atom.

=====

Record 13
This record from Alexandria describes a geometry-optimized Ir2ClO2 structure. The functional is GGA-PBEsol.

Structure (POSCAR):
```
Ir2ClO2
1.0
-2.675 0.081 2.934
2.753 -1.306 2.547
1.121 4.890 -1.800
Ir O Cl
2 2 1
Direct
0.250 0.750 0.500
0.750 0.250 0.500
0.321 0.321 0.643
0.679 0.679 0.357
0.000 0.000 0.000
```

Properties
As for the symmetry: I4/mmm, No. 139. The calculation puts the total DFT energy (no corrections) at -5.823 eV/atom. As for the raw formation energy: 608 meV per atom.

=====

Record 14
This record from Alexandria describes a geometry-optimized IrPtCl2O structure. The functional is GGA-PBEsol.

Structure (POSCAR):
```
IrPtCl2O
1.0
-3.809 2.295 1.207
-2.575 -3.091 -2.248
-0.330 -2.696 4.085
Ir O Pt Cl
1 1 1 2
Direct
0.000 0.000 0.000
0.500 0.500 0.500
0.000 0.000 0.500
0.000 0.500 0.000
0.500 0.000 0.000
```

Properties
As for the symmetry: P4/mmm, No. 123. The calculation puts the total DFT energy (no corrections) at -4.001 eV/atom. As for the raw formation energy: 1209 meV per atom.

=====

Record 15
This record from Alexandria describes a geometry-optimized IrSCl2O structure. The functional is GGA-PBEsol.

Structure (POSCAR):
```
IrSCl2O
1.0
3.810 0.000 0.000
0.000 4.442 0.000
0.000 0.000 4.442
S Ir O Cl
1 1 1 2
Direct
0.500 0.000 0.000
0.500 0.500 0.500
0.000 0.000 0.000
0.000 0.000 0.500
0.000 0.500 0.000
```

Properties
As for the symmetry: P4/mmm, No. 123. The calculation puts the total DFT energy (no corrections) at -3.355 eV/atom. As for the raw formation energy: 1340 meV per atom.

=====

Record 16
This record from Alexandria describes a geometry-optimized Ir2OsCl structure. The functional is GGA-PBEsol.

Structure (POSCAR):
```
Ir2OsCl
1.0
3.793 0.000 0.000
0.000 3.793 0.000
0.000 0.000 4.046
Ir Os Cl
2 1 1
Direct
0.000 0.500 0.000
0.500 0.000 0.000
0.500 0.500 0.500
0.000 0.000 0.500
```

Properties
As for the symmetry: P4/mmm, No. 123. The calculation puts the total DFT energy (no corrections) at -7.029 eV/atom. As for the raw formation energy: 1438 meV per atom.

=====

Record 17
This record from Alexandria describes a geometry-optimized Ir2OsCl structure. The functional is GGA-PBEsol.

Structure (POSCAR):
```
Ir2OsCl
1.0
-1.108 -0.710 -2.354
0.726 -1.982 1.800
-8.200 0.394 3.742
Ir Os Cl
2 1 1
Direct
0.000 0.000 0.749
0.000 0.000 0.251
0.500 0.000 0.500
0.500 0.000 0.000
```

Properties
As for the symmetry: Cmmm, No. 65. The calculation puts the total DFT energy (no corrections) at -7.789 eV/atom. As for the raw formation energy: 679 meV per atom.

=====

Record 18
This record from Alexandria describes a geometry-optimized IrOs2Cl structure. The functional is GGA-PBEsol.

Structure (POSCAR):
```
IrOs2Cl
1.0
2.717 0.000 0.000
0.000 4.625 0.000
0.000 0.000 4.640
Ir Os Cl
1 2 1
Direct
0.000 0.500 0.500
0.000 0.000 0.000
0.500 0.000 0.500
0.500 0.500 0.000
```

Properties
As for the symmetry: Pmmm, No. 47. The calculation puts the total DFT energy (no corrections) at -7.876 eV/atom. As for the raw formation energy: 1190 meV per atom.

=====

Record 19
This record from Alexandria describes a geometry-optimized Ir3OsCl structure. The functional is GGA-PBEsol.

Structure (POSCAR):
```
Ir3OsCl
1.0
4.713 0.000 0.000
0.000 4.713 0.000
0.000 0.000 4.713
Ir Os Cl
3 1 1
Direct
0.000 0.500 0.000
0.000 0.000 0.500
0.500 0.000 0.000
0.000 0.000 0.000
0.500 0.500 0.500
```

Properties
As for the symmetry: Pm-3m, No. 221. The calculation puts the total DFT energy (no corrections) at -6.562 eV/atom. As for the raw formation energy: 2177 meV per atom.

=====

Record 20
This record from Alexandria describes a geometry-optimized Ir2OsCl structure. The functional is GGA-PBEsol.

Structure (POSCAR):
```
Ir2OsCl
1.0
-1.812 -2.022 -0.170
1.628 -1.720 3.096
-2.652 3.905 3.564
Ir Os Cl
2 1 1
Direct
0.072 0.000 0.144
0.210 0.500 0.420
0.808 0.000 0.615
0.945 0.500 0.890
```

Properties
As for the symmetry: Amm2, No. 38. The calculation puts the total DFT energy (no corrections) at -7.702 eV/atom. As for the raw formation energy: 765 meV per atom.